#one
Below is a relaxed structure of BaMoC2, with properties calculated at the PBE level.

Calculated values
Symmetry: No. 225
Total moment in μB/cell: 0.0
DOS at the Fermi energy in states/eV/atom: 2.039

a b c (Å): 4.3962 4.3962 4.3962
angles (deg): 60.00 60.00 60.00
Fractional coordinates of all 4 atoms:
C  0.2500  0.2500  0.2500
C  0.7500  0.7500  0.7500
Mo  0.0000  0.0000  0.0000
Ba  0.5000  0.5000  0.5000

***

#two
Below is a relaxed structure of BaMoC2, with properties calculated at the PBE level.

Calculated values
Symmetry: No. 122
Total moment in μB/cell: 0.0
DOS at the Fermi energy in states/eV/atom: 0.002

a b c (Å): 6.0120 6.0120 6.0324
angles (deg): 60.11 60.11 90.00
Fractional coordinates of all 8 atoms:
C  0.4874  0.1250  0.2500
C  0.2626  0.6250  0.2500
C  0.3750  0.5126  0.7500
C  0.8750  0.7374  0.7500
Mo  0.5000  0.5000  0.0000
Mo  0.2500  0.7500  0.5000
Ba  0.0000  0.0000  0.0000
Ba  0.7500  0.2500  0.5000

***

The winner here is #two, beating the second structure by 1.870 eV/atom.

***

#one
Below is a relaxed structure of BaC3N, with properties calculated at the PBE level.

Calculated values
Symmetry: No. 221
Total moment in μB/cell: 2.0
DOS at the Fermi energy in states/eV/atom: 1.701

a b c (Å): 4.8504 4.8504 4.8504
angles (deg): 90.00 90.00 90.00
Last column: magnetic moment on the atom in μB.
Fractional coordinates of all 5 atoms:
C  0.0000  0.5000  0.0000  0.38
C  0.0000  0.0000  0.5000  0.23
C  0.5000  0.0000  0.0000  0.25
Ba  0.0000  0.0000  0.0000  0.06
N  0.5000  0.5000  0.5000  0.18

***

#two
Below is a relaxed structure of BaC3N, with properties calculated at the PBE level.

Calculated values
Symmetry: No. 221
Total moment in μB/cell: 0.0
DOS at the Fermi energy in states/eV/atom: 0.792

a b c (Å): 4.0182 4.0182 4.0182
angles (deg): 90.00 90.00 90.00
Fractional coordinates of all 5 atoms:
C  0.0000  0.5000  0.0000
C  0.0000  0.0000  0.5000
C  0.5000  0.0000  0.0000
Ba  0.5000  0.5000  0.5000
N  0.0000  0.0000  0.0000

***

The winner here is #two, beating the second structure by 1.874 eV/atom.